[1]
NdTlAg: relaxed, PBE.

Computed properties:
SG = F-43m
calculated total energy = -3.53 eV per atom

Cell lengths 6.966, 6.966, 6.966 Å; angles 90.00, 90.00, 90.00 degrees
Element x y z (fractional)
Nd 0.000 0.000 0.000
Nd 0.000 0.500 0.500
Nd 0.500 0.000 0.500
Nd 0.500 0.500 0.000
Tl 0.000 0.000 0.500
Tl 0.000 0.500 0.000
Tl 0.500 0.000 0.000
Tl 0.500 0.500 0.500
Ag 0.250 0.250 0.250
Ag 0.250 0.750 0.750
Ag 0.750 0.250 0.750
Ag 0.750 0.750 0.250


[2]
RbErCdTe3: relaxed, PBE.

Computed properties:
SG = C2/m
calculated total energy = -3.59 eV per atom

Cell lengths 10.010, 10.010, 9.917 Å; angles 102.21, 102.21, 25.98 degrees
Element x y z (fractional)
Rb 0.144 0.144 0.068
Rb 0.856 0.856 0.932
Er 0.175 0.175 0.581
Er 0.825 0.825 0.419
Cd 0.484 0.484 0.281
Cd 0.516 0.516 0.719
Te 0.000 0.000 0.500
Te 0.331 0.331 0.213
Te 0.334 0.334 0.632
Te 0.500 0.500 0.000
Te 0.666 0.666 0.368
Te 0.669 0.669 0.787


[3]
HfBiPO: relaxed, PBE.

Computed properties:
SG = P4/nmm
ΔE to the lowest computed polymorph = 487 meV per atom
calculated total energy = -6.81 eV per atom

Cell lengths 4.351, 4.351, 8.297 Å; angles 90.00, 90.00, 90.00 degrees
Element x y z (fractional)
Hf 0.250 0.750 0.000
Hf 0.750 0.250 0.000
Bi 0.250 0.250 0.379
Bi 0.750 0.750 0.621
P 0.250 0.250 0.833
P 0.750 0.750 0.167
O 0.250 0.750 0.500
O 0.750 0.250 0.500


[4]
Mg2ZnPd: relaxed, PBE.

Computed properties:
SG = F-43m
calculated total energy = -2.76 eV per atom

Cell lengths 6.432, 6.432, 6.432 Å; angles 90.00, 90.00, 90.00 degrees
Element x y z (fractional)
Mg 0.000 0.000 0.000
Mg 0.000 0.500 0.500
Mg 0.250 0.250 0.250
Mg 0.250 0.750 0.750
Mg 0.500 0.000 0.500
Mg 0.500 0.500 0.000
Mg 0.750 0.250 0.750
Mg 0.750 0.750 0.250
Zn 0.250 0.250 0.750
Zn 0.250 0.750 0.250
Zn 0.750 0.250 0.250
Zn 0.750 0.750 0.750
Pd 0.000 0.000 0.500
Pd 0.000 0.500 0.000
Pd 0.500 0.000 0.000
Pd 0.500 0.500 0.500


Repeat the third record exactly.
HfBiPO: relaxed, PBE.

Computed properties:
SG = P4/nmm
ΔE to the lowest computed polymorph = 487 meV per atom
calculated total energy = -6.81 eV per atom

Cell lengths 4.351, 4.351, 8.297 Å; angles 90.00, 90.00, 90.00 degrees
Element x y z (fractional)
Hf 0.250 0.750 0.000
Hf 0.750 0.250 0.000
Bi 0.250 0.250 0.379
Bi 0.750 0.750 0.621
P 0.250 0.250 0.833
P 0.750 0.750 0.167
O 0.250 0.750 0.500
O 0.750 0.250 0.500